1.
## UAlCo (GGA-PBE)

Data for a relaxed structure of UAlCo.

raw total energy: -7.692 eV per atom

a b c (Å): 6.5574 6.5574 4.0056
angles (deg): 90.00 90.00 120.00
Last column: nearest neighbours and their distance in Å.
Space group P-62m (No. 189)
Asymmetric unit:
U  0.0000  0.5756  0.0000  5 Co 2.78-2.80, 2 Al 3.00
Al  0.0000  0.2359  0.5000  4 Co 2.53-2.57, 2 Al 2.68
Co  0.0000  0.0000  0.0000  6 Al 2.53, 3 U 2.78
Co  0.3333  0.6667  0.5000  3 Al 2.57, 6 U 2.80

---

2.
## Gd2ErMg3In2Hg (GGA-PBE)

Data for a relaxed structure of Gd2ErMg3In2Hg.

raw total energy: -3.118 eV per atom

a b c (Å): 4.6299 12.9778 7.5630
angles (deg): 90.00 90.00 90.00
Last column: nearest neighbours and their distance in Å.
Space group Amm2 (No. 38)
Asymmetric unit:
Gd  0.0000  0.2103  0.0000  1 Hg 3.18, 4 In 3.24, 2 Mg 3.44
Er  0.0000  0.0000  0.3686  1 Hg 3.14, 4 In 3.21, 2 Mg 3.47
Mg  0.5000  0.0000  0.0267  2 In 2.92, 2 Hg 2.95, 2 Mg 3.12
Mg  0.5000  0.1197  0.6690  2 Hg 2.92, 2 In 2.93-2.94, 2 Mg 3.11-3.12
In  0.5000  0.1651  0.2897  3 Mg 2.92-2.94, 2 Er 3.21, 4 Gd 3.24
Hg  0.0000  0.0000  0.7843  6 Mg 2.92-2.95, 1 Er 3.14, 2 Gd 3.18

---

3.
## AcNdGa (GGA-PBE)

Data for a relaxed structure of AcNdGa.

relative energy among the computed polymorphs: 0 meV per atom

a b c (Å): 7.4487 7.4487 7.4487
angles (deg): 90.00 90.00 90.00
Last column: nearest neighbours and their distance in Å.
Space group F-43m (No. 216)
Asymmetric unit:
Ac  0.0000  0.0000  0.0000  4 Ga 3.23
Nd  0.0000  0.0000  0.5000  4 Ga 3.23
Ga  0.2500  0.2500  0.2500  4 Ac 3.23, 4 Nd 3.23

---

4.
## HoGeB (GGA-PBE)

Data for a relaxed structure of HoGeB.

relative energy among the computed polymorphs: 164 meV per atom

a b c (Å): 5.9123 5.9123 5.9123
angles (deg): 90.00 90.00 90.00
Last column: nearest neighbours and their distance in Å.
Space group F-43m (No. 216)
Asymmetric unit:
Ho  0.0000  0.0000  0.0000  4 B 2.56
Ge  0.0000  0.0000  0.5000  4 B 2.56
B  0.2500  0.2500  0.7500  4 Ge 2.56, 4 Ho 2.56

---

Number 2 is which compound? Gd2ErMg3In2Hg